1.
Below is crystalline Sr3Al7Ir2 at its relaxed geometry, with properties calculated at the PBE-GGA level.

Values from the calculation:
The total DFT energy (no corrections) comes out at -52.639 eV/cell. The space group is Cmmm (65). Its energy relative to the elements is -306 meV per atom.

Cell and atoms, written as CIF:
```
data_Sr3Al7Ir2
_symmetry_space_group_name_H-M 'P 1'
_symmetry_Int_Tables_number 1
_cell_length_a 4.570
_cell_length_b 4.647
_cell_length_c 14.543
_cell_angle_alpha 99.19
_cell_angle_beta 90.00
_cell_angle_gamma 90.00
loop_
_symmetry_equiv_pos_as_xyz
'x,y,z'
loop_
_atom_site_label
_atom_site_fract_x
_atom_site_fract_y
_atom_site_fract_z
Al1 0.500 0.107 0.213
Al2 0.000 0.828 0.656
Al3 0.000 0.000 0.000
Al4 0.000 0.172 0.344
Al5 0.500 0.893 0.787
Al6 0.000 0.607 0.213
Al7 0.000 0.393 0.787
Ir1 0.000 0.920 0.841
Ir2 0.000 0.080 0.159
Sr1 0.500 0.300 0.600
Sr2 0.500 0.500 0.000
Sr3 0.500 0.700 0.400
```

***

2.
Below is crystalline Ca2Zn2Au at its relaxed geometry, with properties calculated at the PBE-GGA level.

Values from the calculation:
As for the energy above the most stable polymorph in this dataset: 0.214 eV/atom. The total DFT energy (no corrections) comes out at -11.086 eV/cell. The space group is I4/mmm (139). Its energy relative to the elements is -252 meV per atom.

Cell and atoms, written as CIF:
```
data_Ca2Zn2Au
_symmetry_space_group_name_H-M 'P 1'
_symmetry_Int_Tables_number 1
_cell_length_a 5.801
_cell_length_b 5.801
_cell_length_c 5.544
_cell_angle_alpha 58.45
_cell_angle_beta 58.45
_cell_angle_gamma 90.00
loop_
_symmetry_equiv_pos_as_xyz
'x,y,z'
loop_
_atom_site_label
_atom_site_fract_x
_atom_site_fract_y
_atom_site_fract_z
Ca1 0.750 0.250 0.500
Ca2 0.250 0.750 0.500
Au1 0.000 0.000 0.000
Zn1 0.343 0.343 0.313
Zn2 0.657 0.657 0.687
```

***

3.
Below is crystalline LiNi7B5 at its relaxed geometry, with properties calculated at the PBE-GGA level.

Values from the calculation:
The total DFT energy (no corrections) comes out at -76.966 eV/cell. The space group is Imm2 (44). Its energy relative to the elements is -92 meV per atom.

Cell and atoms, written as CIF:
```
data_LiNi7B5
_symmetry_space_group_name_H-M 'P 1'
_symmetry_Int_Tables_number 1
_cell_length_a 4.203
_cell_length_b 5.615
_cell_length_c 5.615
_cell_angle_alpha 80.77
_cell_angle_beta 68.02
_cell_angle_gamma 68.02
loop_
_symmetry_equiv_pos_as_xyz
'x,y,z'
loop_
_atom_site_label
_atom_site_fract_x
_atom_site_fract_y
_atom_site_fract_z
Ni1 0.979 0.357 0.685
Ni2 0.533 0.148 0.786
Ni3 0.314 0.686 0.686
Ni4 0.979 0.685 0.357
Ni5 0.271 0.229 0.229
Ni6 0.643 0.357 0.357
Ni7 0.533 0.786 0.148
B1 0.008 0.002 0.483
B2 0.745 0.755 0.755
B3 0.507 0.483 0.002
B4 0.507 0.002 0.483
B5 0.008 0.483 0.002
Li1 0.974 0.026 0.026
```

***

4.
Below is crystalline NbGaAu2Cl at its relaxed geometry, with properties calculated at the PBE-GGA level.

Values from the calculation:
The total DFT energy (no corrections) comes out at -18.420 eV/cell. The space group is P4/mmm (123). Its uncorrected formation energy is 616 meV per atom.

Cell and atoms, written as CIF:
```
data_NbGaAu2Cl
_symmetry_space_group_name_H-M 'P 1'
_symmetry_Int_Tables_number 1
_cell_length_a 4.803
_cell_length_b 5.186
_cell_length_c 4.803
_cell_angle_alpha 90.00
_cell_angle_beta 90.00
_cell_angle_gamma 90.00
loop_
_symmetry_equiv_pos_as_xyz
'x,y,z'
loop_
_atom_site_label
_atom_site_fract_x
_atom_site_fract_y
_atom_site_fract_z
Au1 0.500 0.000 0.000
Au2 0.000 0.000 0.500
Nb1 0.000 0.500 0.000
Ga1 0.000 0.000 0.000
Cl1 0.500 0.500 0.500
```

***

5.
Below is crystalline SnAs at its relaxed geometry, with properties calculated at the PBE-GGA level.

Values from the calculation:
The total DFT energy (no corrections) comes out at -65.649 eV/cell. The space group is I-43m (217). Its energy relative to the elements is 223 meV per atom.

Cell and atoms, written as CIF:
```
data_SnAs
_symmetry_space_group_name_H-M 'P 1'
_symmetry_Int_Tables_number 1
_cell_length_a 8.837
_cell_length_b 8.837
_cell_length_c 8.837
_cell_angle_alpha 90.00
_cell_angle_beta 90.00
_cell_angle_gamma 90.00
loop_
_symmetry_equiv_pos_as_xyz
'x,y,z'
loop_
_atom_site_label
_atom_site_fract_x
_atom_site_fract_y
_atom_site_fract_z
Sn1 0.151 0.151 0.849
Sn2 0.349 0.651 0.651
Sn3 0.151 0.849 0.151
Sn4 0.651 0.349 0.651
Sn5 0.849 0.849 0.849
Sn6 0.849 0.151 0.151
Sn7 0.349 0.349 0.349
Sn8 0.651 0.651 0.349
As1 0.663 0.337 0.337
As2 0.163 0.837 0.837
As3 0.663 0.663 0.663
As4 0.337 0.337 0.663
As5 0.163 0.163 0.163
As6 0.337 0.663 0.337
As7 0.837 0.163 0.837
As8 0.837 0.837 0.163
```

***

6.
Below is crystalline Rb2FeReBr6 at its relaxed geometry, with properties calculated at the PBE-GGA level.

Values from the calculation:
The total DFT energy (no corrections) comes out at -38.843 eV/cell. The space group is Fm-3m (225). Its uncorrected formation energy is -596 meV per atom.

Cell and atoms, written as CIF:
```
data_Rb2FeReBr6
_symmetry_space_group_name_H-M 'P 1'
_symmetry_Int_Tables_number 1
_cell_length_a 7.438
_cell_length_b 7.438
_cell_length_c 7.441
_cell_angle_alpha 60.01
_cell_angle_beta 60.01
_cell_angle_gamma 90.00
loop_
_symmetry_equiv_pos_as_xyz
'x,y,z'
loop_
_atom_site_label
_atom_site_fract_x
_atom_site_fract_y
_atom_site_fract_z
Rb1 0.250 0.750 0.500
Rb2 0.750 0.250 0.500
Br1 0.753 0.753 0.000
Br2 0.247 0.753 0.000
Br3 0.246 0.246 0.507
Br4 0.753 0.247 0.000
Br5 0.754 0.754 0.493
Br6 0.247 0.247 0.000
Re1 0.000 0.000 0.000
Fe1 0.500 0.500 0.000
```

***

7.
Below is crystalline HfScAg at its relaxed geometry, with properties calculated at the PBE-GGA level.

Values from the calculation:
As for the energy above the most stable polymorph in this dataset: 0.116 eV/atom. The total DFT energy (no corrections) comes out at -38.424 eV/cell. The space group is Pm (6). Its energy relative to the elements is -25 meV per atom.

Cell and atoms, written as CIF:
```
data_HfScAg
_symmetry_space_group_name_H-M 'P 1'
_symmetry_Int_Tables_number 1
_cell_length_a 3.212
_cell_length_b 5.073
_cell_length_c 7.892
_cell_angle_alpha 80.57
_cell_angle_beta 90.00
_cell_angle_gamma 90.00
loop_
_symmetry_equiv_pos_as_xyz
'x,y,z'
loop_
_atom_site_label
_atom_site_fract_x
_atom_site_fract_y
_atom_site_fract_z
Ag1 0.734 0.767 0.198
Ag2 0.234 0.055 0.922
Hf1 0.734 0.153 0.602
Hf2 0.734 0.578 0.861
Sc1 0.234 0.677 0.510
Sc2 0.234 0.255 0.245
```

***

8.
Below is crystalline TbPm5Dy12 at its relaxed geometry, with properties calculated at the PBE-GGA level.

Values from the calculation:
The total DFT energy (no corrections) comes out at -81.967 eV/cell. The space group is Cmmm (65). Its energy relative to the elements is 91 meV per atom.

Cell and atoms, written as CIF:
```
data_TbPm5Dy12
_symmetry_space_group_name_H-M 'P 1'
_symmetry_Int_Tables_number 1
_cell_length_a 11.795
_cell_length_b 10.418
_cell_length_c 5.740
_cell_angle_alpha 90.00
_cell_angle_beta 90.00
_cell_angle_gamma 55.52
loop_
_symmetry_equiv_pos_as_xyz
'x,y,z'
loop_
_atom_site_label
_atom_site_fract_x
_atom_site_fract_y
_atom_site_fract_z
Pm1 0.863 0.274 0.500
Pm2 0.361 0.277 0.000
Pm3 0.639 0.723 0.000
Pm4 0.500 0.000 0.500
Pm5 0.137 0.726 0.500
Dy1 0.667 0.358 0.000
Dy2 0.801 0.000 0.500
Dy3 0.199 0.000 0.500
Dy4 0.701 0.000 0.000
Dy5 0.025 0.642 0.000
Dy6 0.526 0.641 0.500
Dy7 0.833 0.641 0.500
Dy8 0.299 0.000 0.000
Dy9 0.975 0.358 0.000
Dy10 0.167 0.359 0.500
Dy11 0.333 0.642 0.000
Dy12 0.474 0.359 0.500
Tb1 0.000 0.000 0.000
```

***

9.
Below is crystalline CdTcNi2 at its relaxed geometry, with properties calculated at the PBE-GGA level.

Values from the calculation:
The total DFT energy (no corrections) comes out at -21.785 eV/cell. The space group is Imm2 (44). Its energy relative to the elements is 265 meV per atom.

Cell and atoms, written as CIF:
```
data_CdTcNi2
_symmetry_space_group_name_H-M 'P 1'
_symmetry_Int_Tables_number 1
_cell_length_a 5.333
_cell_length_b 5.333
_cell_length_c 5.333
_cell_angle_alpha 150.71
_cell_angle_beta 130.19
_cell_angle_gamma 58.84
loop_
_symmetry_equiv_pos_as_xyz
'x,y,z'
loop_
_atom_site_label
_atom_site_fract_x
_atom_site_fract_y
_atom_site_fract_z
Tc1 0.525 0.525 0.000
Ni1 0.978 0.978 0.000
Ni2 0.755 0.255 0.500
Cd1 0.242 0.742 0.500
```

***

10.
Below is crystalline LaPrHo3Er at its relaxed geometry, with properties calculated at the PBE-GGA level.

Values from the calculation:
The total DFT energy (no corrections) comes out at -54.716 eV/cell. The space group is Cmcm (63). Its energy relative to the elements is 108 meV per atom.

Cell and atoms, written as CIF:
```
data_LaPrHo3Er
_symmetry_space_group_name_H-M 'P 1'
_symmetry_Int_Tables_number 1
_cell_length_a 5.891
_cell_length_b 6.431
_cell_length_c 11.788
_cell_angle_alpha 90.00
_cell_angle_beta 90.00
_cell_angle_gamma 117.26
loop_
_symmetry_equiv_pos_as_xyz
'x,y,z'
loop_
_atom_site_label
_atom_site_fract_x
_atom_site_fract_y
_atom_site_fract_z
Er1 0.827 0.655 0.750
Er2 0.173 0.345 0.250
Pr1 0.000 0.000 0.500
Pr2 0.000 0.000 0.000
La1 0.501 0.003 0.250
La2 0.499 0.997 0.750
Ho1 0.174 0.349 0.750
Ho2 0.675 0.351 0.501
Ho3 0.826 0.651 0.250
Ho4 0.325 0.649 0.499
Ho5 0.325 0.649 0.001
Ho6 0.675 0.351 0.999
```